No. 1
A PBEsol-optimized structure of Ba2TaGaCu, computed with SCAN.

Values from the calculation:
Fermi-level density of states = 4.8 states/eV per cell
Energy relative to the elements = 891 meV per atom

Geometry as POSCAR:
```
Ba2TaGaCu
1.0
6.202 0.000 0.000
0.000 6.202 0.000
0.000 0.000 4.921
Ba Ta Ga Cu
2 1 1 1
Direct
0.000 0.500 0.000 Ba
0.500 0.000 0.000 Ba
0.000 0.000 0.500 Ta
0.000 0.000 0.000 Ga
0.500 0.500 0.500 Cu
```



No. 2
A PBEsol-optimized structure of Ba2GdCu2Hg2O8, computed with SCAN.

Values from the calculation:
Fermi-level density of states = 4.0 states/eV per cell
Formation energy from raw total energies = -25.66 eV/f.u.

Geometry as POSCAR:
```
Ba2GdCu2Hg2O8
1.0
-1.924 1.924 14.428
1.924 -1.924 14.428
1.924 1.924 -14.428
Ba Gd Cu Hg O
2 1 2 2 8
Direct
0.127 0.127 0.000 Ba
0.873 0.873 0.000 Ba
0.000 0.000 0.000 Gd
0.442 0.442 0.000 Cu
0.558 0.558 0.000 Cu
0.288 0.288 0.000 Hg
0.712 0.712 0.000 Hg
0.050 0.550 0.500 O
0.217 0.217 0.000 O
0.360 0.360 0.000 O
0.450 0.950 0.500 O
0.550 0.050 0.500 O
0.640 0.640 0.000 O
0.783 0.783 0.000 O
0.950 0.450 0.500 O
```



No. 3
A PBEsol-optimized structure of Ba2GdCu4O8, computed with SCAN.

Values from the calculation:
Fermi-level density of states = 3.4 states/eV per cell
Formation energy from raw total energies = -28.18 eV/f.u.

Geometry as POSCAR:
```
Ba2GdCu4O8
1.0
1.927 -13.453 0.000
1.927 13.453 0.000
0.000 0.000 3.851
Ba Gd Cu O
2 1 4 8
Direct
0.136 0.864 0.000 Ba
0.864 0.136 0.000 Ba
0.000 0.000 0.000 Gd
0.287 0.713 0.500 Cu
0.437 0.563 0.500 Cu
0.563 0.437 0.500 Cu
0.713 0.287 0.500 Cu
0.054 0.946 0.500 O
0.218 0.782 0.500 O
0.355 0.645 0.500 O
0.446 0.554 0.000 O
0.554 0.446 0.000 O
0.645 0.355 0.500 O
0.782 0.218 0.500 O
0.946 0.054 0.500 O
```